No. 1
## La3ScSn12 (GGA-PBE)

Data for crystalline La3ScSn12 at its relaxed geometry.

Structure (POSCAR):
```
La3ScSn12
1.0
4.781 0.000 0.000
0.000 4.781 0.000
0.000 0.000 18.876
La Sc Sn
3 1 12
direct
0.000 0.000 0.244
0.000 0.000 0.500
0.000 0.000 0.756
0.000 0.000 0.000
0.500 0.500 0.000
0.500 0.500 0.243
0.500 0.500 0.500
0.500 0.500 0.757
0.500 0.000 0.115
0.500 0.000 0.372
0.500 0.000 0.628
0.500 0.000 0.885
0.000 0.500 0.115
0.000 0.500 0.372
0.000 0.500 0.628
0.000 0.500 0.885
```

Energy relative to the elements, eV/atom: -0.5060
Total energy, eV/atom: -4.828

No. 2
## LaScSn (GGA-PBE)

Data for crystalline LaScSn at its relaxed geometry.

Structure (POSCAR):
```
LaScSn
1.0
-3.541 -2.900 -0.224
0.850 -1.370 4.289
-5.107 6.009 2.932
La Sc Sn
2 2 2
direct
0.000 0.500 0.851
0.500 0.000 0.149
0.500 0.500 0.500
0.000 0.000 0.500
0.000 0.500 0.261
0.500 0.000 0.739
```

Energy relative to the elements, eV/atom: -0.6440
Total energy, eV/atom: -5.731